Density functional theory data (PBE with a Hubbard U) for a relaxed structure of Cr2RhCF.

```
Cr2RhCF
1.0
-0.4264 0.9239 3.9203
-1.9710 -3.7053 0.6588
3.5625 -1.7527 0.8005
Cr C F Rh
2 1 1 1
Direct
0.0000 0.0000 0.5000
0.5000 0.0000 0.0000
0.0000 0.5000 0.0000
0.0000 0.0000 0.0000
0.5000 0.5000 0.5000
```

Calculated values
**Total energy**: -5.70 eV/atom